1.
The following is a PBE calculation of Lu3BiH after structural relaxation, from Alexandria via LeMat-Bulk.

The value obtained for the energy is -22.4 eV per cell.

It has space group Pm-3m (No. 221), with a = 4.778 Å, b = 4.778 Å, c = 4.778 Å, α = 90.00°, β = 90.00° and γ = 90.00°. The distinct sites, in fractional coordinates, are Lu at (0.000, 0.000, 0.500), Bi at (0.500, 0.500, 0.500) and H at (0.000, 0.000, 0.000).

***

2.
The following is a PBE calculation of Ba2LaNb after structural relaxation, from Alexandria via LeMat-Bulk.

As for the formation enthalpy at 0 K: 83.48 kJ per mole of atoms. The value obtained for the energy is -61.5 eV per cell.

It has space group I-42d (No. 122), with a = 12.080 Å, b = 12.080 Å, c = 5.423 Å, α = 90.00°, β = 90.00° and γ = 90.00°. The distinct sites, in fractional coordinates, are Ba at (0.097, 0.750, 0.125), La at (0.000, 0.000, 0.500) and Nb at (0.000, 0.000, 0.000).

***

3.
The following is a PBE calculation of Na4TlBr6 after structural relaxation, from Alexandria via LeMat-Bulk.

The value obtained for the energy is -125.6 eV per cell. The value obtained for the uncorrected formation energy is -1.25 eV per atom.

It has space group Cmcm (No. 63), with a = 4.111 Å, b = 14.263 Å, c = 22.117 Å, α = 90.00°, β = 90.00° and γ = 90.00°. The distinct sites, in fractional coordinates, are Na at (0.000, 0.100, 0.123), Na at (0.000, 0.360, 0.039), Tl at (0.000, 0.145, 0.750), Br at (0.000, 0.000, 0.000), Br at (0.000, 0.197, 0.250), Br at (0.000, 0.273, 0.583) and Br at (0.000, 0.454, 0.163).

***

4.
The following is a PBE calculation of B2PtS after structural relaxation, from Alexandria via LeMat-Bulk.

The value obtained for the energy is -92.9 eV per cell. The value obtained for the uncorrected formation energy is 0.07 eV per atom.

It has space group I-42d (No. 122), with a = 4.857 Å, b = 4.857 Å, c = 8.412 Å, α = 90.00°, β = 90.00° and γ = 90.00°. The distinct sites, in fractional coordinates, are B at (0.220, 0.250, 0.125), Pt at (0.000, 0.000, 0.500) and S at (0.000, 0.000, 0.000).

***

5.
The following is a PBE calculation of Pr2YAg2 after structural relaxation, from Alexandria via LeMat-Bulk.

As for the formation enthalpy at 0 K: -7.63 kJ per mole of atoms. The value obtained for the energy is -44.2 eV per cell.

It has space group P2_1/m (No. 11), with a = 5.902 Å, b = 4.721 Å, c = 11.068 Å, α = 90.00°, β = 96.48° and γ = 90.00°. The distinct sites, in fractional coordinates, are Pr at (0.105, 0.250, 0.378), Pr at (0.255, 0.250, 0.049), Y at (0.412, 0.250, 0.714), Ag at (0.233, 0.750, 0.856) and Ag at (0.374, 0.750, 0.532).

***

6.
The following is a PBE calculation of V3PbI after structural relaxation, from Alexandria via LeMat-Bulk.

The value obtained for the energy is -25.4 eV per cell. The value obtained for the uncorrected formation energy is 1.43 eV per atom.

It has space group Pm-3m (No. 221), with a = 5.297 Å, b = 5.297 Å, c = 5.297 Å, α = 90.00°, β = 90.00° and γ = 90.00°. The distinct sites, in fractional coordinates, are V at (0.000, 0.000, 0.500), Pb at (0.000, 0.000, 0.000) and I at (0.500, 0.500, 0.500).

***

7.
The following is a PBE calculation of La2Nd3Sn after structural relaxation, from Alexandria via LeMat-Bulk.

As for the formation enthalpy at 0 K: -25.49 kJ per mole of atoms. The value obtained for the energy is -59.5 eV per cell.

It has space group Cmmm (No. 65), with a = 5.030 Å, b = 15.909 Å, c = 4.911 Å, α = 90.00°, β = 90.00° and γ = 90.00°. The distinct sites, in fractional coordinates, are La at (0.000, 0.161, 0.000), Nd at (0.000, 0.000, 0.500), Nd at (0.000, 0.344, 0.500) and Sn at (0.000, 0.500, 0.000).

***

8.
The following is a PBE calculation of MnTl2Br4 after structural relaxation, from Alexandria via LeMat-Bulk.

The value obtained for the energy is -52.5 eV per cell. The value obtained for the uncorrected formation energy is -0.81 eV per atom.

It has space group C2/m (No. 12), with a = 13.895 Å, b = 4.139 Å, c = 8.828 Å, α = 90.00°, β = 116.15° and γ = 90.00°. The distinct sites, in fractional coordinates, are Mn at (0.000, 0.000, 0.000), Tl at (0.147, 0.500, 0.687), Br at (0.041, 0.000, 0.320) and Br at (0.145, 0.500, 0.061).